VASP calculation (PBE+U) on a relaxed structure of AlVPdF6.

Unit cell a=5.3638 b=5.3638 c=9.9176 alpha=90.00 beta=90.00 gamma=120.00
With the nearest neighbours (Å) after each atom.
Space group P-31c (No. 163)
Unique sites:
Al1 0.3333 0.6667 0.2500 [2 per cell]  6 F 1.84
V1 0.3333 0.6667 0.7500 [2 per cell]  6 F 2.14
Pd1 0.0000 0.0000 0.0000 [2 per cell]  6 F 2.46
F1 0.0410 0.3894 0.1470 [12 per cell]  1 Al 1.84

Output
* total DFT energy (no corrections): -5.550 eV per atom